Arrangement 1

DFT (PBE) results for a relaxed CsAsN2 crystal.

Its density of states at the Fermi level is 2.1 states/eV/f.u. The value obtained for the total moment is 0.00 μB per formula unit.

Geometry as CIF:
```
data_CsAsN2
_cell_length_a 3.248
_cell_length_b 7.893
_cell_length_c 6.960
_cell_angle_alpha 90.00
_cell_angle_beta 90.00
_cell_angle_gamma 101.87
_space_group_name_H-M_alt 'P 1'
_space_group_IT_number 1
_space_group_name_Hall 'P 1'
loop_
_atom_site_label
_atom_site_fract_x
_atom_site_fract_y
_atom_site_fract_z
_atom_site_occupancy
As1 0.828 0.656 0.750 1
As2 0.172 0.344 0.250 1
N1 0.393 0.787 0.638 1
N2 0.607 0.213 0.362 1
N3 0.607 0.213 0.138 1
N4 0.393 0.787 0.862 1
Cs1 0.070 0.140 0.750 1
Cs2 0.930 0.860 0.250 1
```

=====

Arrangement 2

DFT (PBE) results for a relaxed CsAsN2 crystal.

Its density of states at the Fermi level is 0.0 states/eV/f.u. The value obtained for the total moment is 0.00 μB per formula unit.

Geometry as CIF:
```
data_CsAsN2
_cell_length_a 5.954
_cell_length_b 5.954
_cell_length_c 5.779
_cell_angle_alpha 59.00
_cell_angle_beta 59.00
_cell_angle_gamma 90.00
_space_group_name_H-M_alt 'P 1'
_space_group_IT_number 1
_space_group_name_Hall 'P 1'
loop_
_atom_site_label
_atom_site_fract_x
_atom_site_fract_y
_atom_site_fract_z
_atom_site_occupancy
N1 0.292 0.125 0.250 1
N2 0.458 0.625 0.250 1
N3 0.375 0.708 0.750 1
N4 0.875 0.542 0.750 1
Cs1 0.000 0.000 0.000 1
Cs2 0.750 0.250 0.500 1
As1 0.500 0.500 0.000 1
As2 0.250 0.750 0.500 1
```

=====

Order from most stable to least stable according to the calculation: arrangement 2, arrangement 1

=====

Arrangement 1

DFT (PBE) results for a relaxed CsAsN2 crystal.

Its density of states at the Fermi level is 0.0 states/eV/f.u. The value obtained for the total moment is 0.00 μB per formula unit.

Geometry as CIF:
```
data_CsAsN2
_cell_length_a 7.238
_cell_length_b 7.238
_cell_length_c 7.238
_cell_angle_alpha 38.94
_cell_angle_beta 38.94
_cell_angle_gamma 38.94
_space_group_name_H-M_alt 'P 1'
_space_group_IT_number 1
_space_group_name_Hall 'P 1'
loop_
_atom_site_label
_atom_site_fract_x
_atom_site_fract_y
_atom_site_fract_z
_atom_site_occupancy
As1 0.000 0.000 0.000 1
N1 0.917 0.917 0.917 1
N2 0.083 0.083 0.083 1
Cs1 0.500 0.500 0.500 1
```

=====

Arrangement 2

DFT (PBE) results for a relaxed CsAsN2 crystal.

Its density of states at the Fermi level is 2.5 states/eV/f.u. The value obtained for the total moment is 0.00 μB per formula unit.

Geometry as CIF:
```
data_CsAsN2
_cell_length_a 7.877
_cell_length_b 7.877
_cell_length_c 7.877
_cell_angle_alpha 23.46
_cell_angle_beta 23.46
_cell_angle_gamma 23.46
_space_group_name_H-M_alt 'P 1'
_space_group_IT_number 1
_space_group_name_Hall 'P 1'
loop_
_atom_site_label
_atom_site_fract_x
_atom_site_fract_y
_atom_site_fract_z
_atom_site_occupancy
Cs1 0.000 0.000 0.000 1
N1 0.124 0.124 0.124 1
N2 0.876 0.876 0.876 1
As1 0.500 0.500 0.500 1
```

=====

Order from most stable to least stable according to the calculation: arrangement 1, arrangement 2

=====

Arrangement 1

DFT (PBE) results for a relaxed Cs3NaAs crystal.

Its density of states at the Fermi level is 9.5 states/eV/f.u. The value obtained for the total moment is 0.99 μB per formula unit.

Geometry as CIF:
```
data_Cs3NaAs
_cell_length_a 7.117
_cell_length_b 7.117
_cell_length_c 7.117
_cell_angle_alpha 90.00
_cell_angle_beta 90.00
_cell_angle_gamma 90.00
_space_group_name_H-M_alt 'P 1'
_space_group_IT_number 1
_space_group_name_Hall 'P 1'
loop_
_atom_site_label
_atom_site_fract_x
_atom_site_fract_y
_atom_site_fract_z
_atom_site_occupancy
Cs1 0.000 0.000 0.500 1
Cs2 0.000 0.500 0.000 1
Cs3 0.500 0.000 0.000 1
As1 0.500 0.500 0.500 1
Na1 0.000 0.000 0.000 1
```

=====

Arrangement 2

DFT (PBE) results for a relaxed Cs3NaAs crystal.

Its density of states at the Fermi level is 1.7 states/eV/f.u. The value obtained for the total moment is 0.00 μB per formula unit.

Geometry as CIF:
```
data_Cs3NaAs
_cell_length_a 9.653
_cell_length_b 9.675
_cell_length_c 12.580
_cell_angle_alpha 103.60
_cell_angle_beta 90.00
_cell_angle_gamma 90.00
_space_group_name_H-M_alt 'P 1'
_space_group_IT_number 1
_space_group_name_Hall 'P 1'
loop_
_atom_site_label
_atom_site_fract_x
_atom_site_fract_y
_atom_site_fract_z
_atom_site_occupancy
Na1 0.335 0.129 0.041 1
Na2 0.665 0.871 0.959 1
Na3 0.835 0.871 0.459 1
Na4 0.165 0.129 0.541 1
Cs1 0.482 0.760 0.260 1
Cs2 0.963 0.686 0.136 1
Cs3 0.537 0.686 0.636 1
Cs4 0.982 0.240 0.240 1
Cs5 0.518 0.240 0.740 1
Cs6 0.143 0.610 0.417 1
Cs7 0.463 0.314 0.364 1
Cs8 0.018 0.760 0.760 1
Cs9 0.037 0.314 0.864 1
Cs10 0.643 0.390 0.083 1
Cs11 0.857 0.390 0.583 1
Cs12 0.357 0.610 0.917 1
As1 0.761 0.577 0.370 1
As2 0.739 0.577 0.870 1
As3 0.239 0.423 0.630 1
As4 0.261 0.423 0.130 1
```

=====

Order from most stable to least stable according to the calculation: arrangement 2, arrangement 1